# 1
Below is a geometry-optimized Tm3Ni3Hg structure, with properties calculated at the PBE level.

Cell: 9.1551 9.1551 4.0252 Å, 90.00 90.00 120.00°
Space group P6_3/m (No. 176)
Inequivalent atoms, fractional coordinates:
Tm: 0.0804 0.6963 0.2500 x6
Ni: 0.0323 0.8624 0.7500 x6
Hg: 0.3333 0.6667 0.7500 x2

Calculated values
DFT total energy ... -67.76 eV for the cell shown
Mass density ... 10042 kg/m³
Crystal system ... hexagonal



# 2
Below is a geometry-optimized NbCd3Ru structure, with properties calculated at the PBE level.

Cell: 5.3001 5.3001 5.3001 Å, 90.00 90.00 90.00°
Space group Pm-3m (No. 221)
Inequivalent atoms, fractional coordinates:
Nb: 0.0000 0.0000 0.0000 x1
Cd: 0.0000 0.0000 0.5000 x3
Ru: 0.5000 0.5000 0.5000 x1

Calculated values
DFT total energy ... -13.08 eV for the cell shown
Mass density ... 5925 kg/m³
Crystal system ... cubic



| no. | calculated formation energy (meV per atom) |
| --- | --- |
| 1 | -403 |
| 2 | 1803 |